Th3ZnAu3 | GGA-PBE | optimized geometry

Lattice parameters (Å, degrees): 4.6068 3.6846 10.5471 100.06 102.61 90.00
Closest atoms and distances in Å follow each position.
Sites, in units of the cell vectors:
Au1 0.5611 0.5611 0.1222  1 Zn 2.60, 2 Au 2.86
Th1 0.6914 0.1914 0.3828  7 Au 3.09-3.46
Zn1 0.4326 0.4326 0.8651  3 Au 2.60-2.71
Th2 0.3072 0.8072 0.6144  2 Zn 3.14, 5 Au 3.15-3.28
Th3 0.0003 0.0003 0.0006  8 Au 3.20-3.46, 4 Zn 3.25
Au2 0.8623 0.3623 0.7246  2 Zn 2.71
Au3 0.1451 0.6451 0.2903  2 Au 2.86, 4 Th 3.09

Properties
The value obtained for the energy relative to the elements is -3.9 eV per formula unit. The space-group type is Imm2 (44). The total magnetic moment is 0.000 μB per atom.